A plane-wave DFT calculation with PBE-GGA was carried out for a relaxed structure of MgCrMo2.

Unit cell a=5.2534 b=5.2095 c=2.6471 alpha=80.87 beta=79.10 gamma=117.14
With the nearest neighbours (Å) after each atom.
Fractional coordinates of all 4 atoms:
1 Cr 0.0000 0.5000 0.5000  2 Cr 2.65, 2 Mg 2.71, 4 Mo 2.73
2 Mg 0.5000 0.5000 0.0000  2 Mg 2.65, 2 Cr 2.71, 4 Mo 2.73
3 Mo 0.0000 0.0000 0.0000  4 Mo 2.65-2.71, 2 Mg 2.73, 2 Cr 2.73
4 Mo 0.5000 0.0000 0.5000  4 Mo 2.65-2.71, 2 Cr 2.73, 2 Mg 2.73

Calculated values
- Calculated formation energy: 0.362 eV per atom
- Fermi-level density of states: 0.759 states/eV/atom
- DFT total energy: -31.43 eV per cell